(1)
The following is a DFT calculation (GGA-PBEsol) of Na5Ti12O24 after structural relaxation.

Properties
The calculation puts the uncorrected formation energy at -2768 meV/atom. As for the crystal system: monoclinic. Its space-group type is Pm (6). The calculation puts the size of the total moment at 5.2 μB per formula unit. For the density of states at the Fermi level, the calculation gives 15.8 states/eV/cell.

abc: 5.404 8.852 9.388
angles: 90.00 90.13 90.00
Last column: magnetic moment on the atom in μB.
Fractional positions:
O 0.236 0.663 0.221  -0.02
Ti 0.989 0.672 0.859  0.35
O 0.662 0.000 0.554  0.00
O 0.179 0.829 0.957  0.00
Ti 0.488 0.500 0.653  0.40
O 0.765 0.163 0.791  -0.02
Ti 0.989 0.328 0.859  0.35
Na 0.025 0.000 0.468  0.00
O 0.330 0.834 0.456  0.00
O 0.665 0.334 0.553  0.00
Ti 0.517 0.670 0.358  0.46
O 0.179 0.171 0.957  0.00
Ti 0.012 0.500 0.149  0.49
Ti 0.015 0.173 0.144  0.33
O 0.824 0.329 0.051  0.00
O 0.153 0.500 0.954  -0.01
Na 0.031 0.666 0.479  0.00
Ti 0.493 0.831 0.649  0.35
O 0.765 0.837 0.791  -0.02
O 0.824 0.671 0.051  0.00
O 0.330 0.166 0.456  0.00
Na 0.528 0.500 0.017  0.00
Ti 0.994 0.000 0.856  0.50
Ti 0.493 0.169 0.649  0.35
Na 0.479 0.000 0.981  0.00
O 0.757 0.833 0.300  -0.02
O 0.665 0.666 0.553  0.00
O 0.236 0.337 0.221  -0.02
O 0.256 0.667 0.713  -0.02
O 0.758 0.500 0.793  -0.01
Na 0.031 0.334 0.479  0.00
O 0.849 0.000 0.055  0.00
Ti 0.517 0.000 0.354  0.50
O 0.244 0.000 0.217  -0.01
Ti 0.517 0.330 0.358  0.46
O 0.271 0.000 0.721  -0.02
Ti 0.015 0.827 0.144  0.33
O 0.256 0.333 0.713  -0.02
O 0.335 0.500 0.456  0.00
O 0.743 0.500 0.292  -0.02
O 0.757 0.167 0.300  -0.02

(2)
The following is a DFT calculation (GGA-PBEsol) of Na6Ti2O7 after structural relaxation.

Properties
The calculation puts the uncorrected formation energy at -2139 meV/atom. The value obtained for the energy above the most stable polymorph in this dataset is 0.0775 eV/atom. As for the crystal system: monoclinic. Its space-group type is C2/m (12). The calculation puts the size of the total moment at 0.0 μB per formula unit. For the density of states at the Fermi level, the calculation gives 0.0 states/eV/cell.

abc: 8.421 8.421 10.863
angles: 76.34 76.34 72.69
Fractional positions:
Na 0.245 0.575 0.117
O 0.730 0.022 0.238
Na 0.113 0.794 0.392
O 0.270 0.970 0.387
Ti 0.116 0.116 0.860
Na 0.555 0.555 0.630
Na 0.136 0.443 0.625
O 0.022 0.730 0.238
Na 0.425 0.755 0.883
O 0.283 0.283 0.469
O 0.717 0.717 0.531
Ti 0.797 0.797 0.638
O 0.000 0.000 0.000
Na 0.680 0.992 0.870
O 0.735 0.433 0.093
O 0.784 0.784 0.053
O 0.216 0.216 0.947
Ti 0.884 0.884 0.140
Ti 0.360 0.360 0.866
O 0.433 0.735 0.093
Na 0.755 0.425 0.883
O 0.978 0.270 0.762
O 0.265 0.567 0.907
O 0.970 0.270 0.387
Na 0.443 0.136 0.625
Na 0.206 0.887 0.608
O 0.270 0.978 0.762
O 0.282 0.282 0.194
Na 0.992 0.680 0.870
Na 0.864 0.557 0.375
Na 0.320 0.008 0.130
O 0.567 0.265 0.907
Na 0.887 0.206 0.608
Ti 0.203 0.203 0.362
O 0.613 0.613 0.307
Na 0.008 0.320 0.130
Na 0.794 0.113 0.392
O 0.718 0.718 0.806
Na 0.557 0.864 0.375
O 0.730 0.030 0.613
Ti 0.640 0.640 0.134
O 0.030 0.730 0.613
O 0.387 0.387 0.693
Na 0.575 0.245 0.117
Na 0.445 0.445 0.370

(3)
The following is a DFT calculation (GGA-PBEsol) of Na4Ti7O16 after structural relaxation.

Properties
The calculation puts the uncorrected formation energy at -2725 meV/atom. The value obtained for the energy above the most stable polymorph in this dataset is 0.0262 eV/atom. As for the crystal system: monoclinic. Its space-group type is Pm (6). The calculation puts the size of the total moment at 0.0 μB per formula unit. For the density of states at the Fermi level, the calculation gives 0.0 states/eV/cell.

abc: 5.476 5.965 9.361
angles: 90.00 90.59 90.00
Fractional positions:
O 0.101 0.500 0.768
Na 0.463 0.500 0.652
Na 0.954 0.743 0.549
Ti 0.943 0.252 0.864
O 0.696 0.000 0.459
O 0.858 0.754 0.235
O 0.333 0.500 0.265
Ti 0.528 0.751 0.358
O 0.692 0.500 0.442
O 0.357 0.000 0.257
Na 0.434 0.500 0.949
O 0.676 0.219 0.742
Na 0.954 0.257 0.549
Ti 0.452 0.000 0.648
O 0.334 0.225 0.519
Ti 0.943 0.748 0.864
Ti 0.055 0.000 0.138
O 0.676 0.781 0.742
Ti 0.018 0.500 0.160
O 0.175 0.746 0.036
O 0.175 0.254 0.036
O 0.813 0.500 0.978
O 0.334 0.775 0.519
O 0.858 0.246 0.235
O 0.154 0.000 0.761
O 0.825 0.000 0.976
Ti 0.528 0.249 0.358

(4)
The following is a DFT calculation (GGA-PBEsol) of Na4Ti5O12 after structural relaxation.

Properties
The calculation puts the uncorrected formation energy at -2694 meV/atom. The value obtained for the energy above the most stable polymorph in this dataset is 0.0480 eV/atom. As for the crystal system: monoclinic. Its space-group type is C2/c (15). The calculation puts the size of the total moment at 0.0 μB per formula unit. For the density of states at the Fermi level, the calculation gives 0.0 states/eV/cell.

abc: 6.114 6.114 13.903
angles: 100.41 100.41 90.72
Fractional positions:
Ti 0.172 0.639 0.336
O 0.435 0.844 0.322
Na 0.000 0.000 0.000
O 0.580 0.568 0.182
Na 0.892 0.108 0.250
O 0.298 0.238 0.028
O 0.420 0.432 0.818
Ti 0.646 0.671 0.833
O 0.780 0.291 0.526
O 0.762 0.702 0.472
O 0.579 0.050 0.147
O 0.709 0.220 0.974
O 0.702 0.762 0.972
Ti 0.000 0.500 0.500
Ti 0.354 0.329 0.167
O 0.816 0.931 0.818
O 0.844 0.435 0.822
O 0.184 0.069 0.182
O 0.220 0.709 0.474
Na 0.184 0.458 0.920
Ti 0.639 0.172 0.836
O 0.291 0.780 0.026
O 0.050 0.579 0.647
Na 0.816 0.542 0.080
O 0.931 0.816 0.318
O 0.069 0.184 0.682
O 0.238 0.298 0.528
O 0.565 0.156 0.678
Ti 0.329 0.354 0.667
Na 0.000 0.000 0.500
Na 0.108 0.892 0.750
O 0.568 0.580 0.682
O 0.421 0.950 0.853
Ti 0.828 0.361 0.664
Ti 0.361 0.828 0.164
Na 0.458 0.184 0.420
Na 0.542 0.816 0.580
O 0.432 0.420 0.318
Ti 0.500 0.000 0.000
O 0.156 0.565 0.178
Ti 0.671 0.646 0.333
O 0.950 0.421 0.353

(5)
The following is a DFT calculation (GGA-PBEsol) of NaTi2O4 after structural relaxation.

Properties
The calculation puts the uncorrected formation energy at -2784 meV/atom. The value obtained for the energy above the most stable polymorph in this dataset is 0.0000 eV/atom. As for the crystal system: orthorhombic. Its space-group type is Pnma (62). The calculation puts the size of the total moment at 1.0 μB per formula unit. For the density of states at the Fermi level, the calculation gives 11.2 states/eV/cell.

abc: 2.926 9.239 10.735
angles: 90.00 90.00 90.00
Last column: magnetic moment on the atom in μB.
Fractional positions:
Ti 0.750 0.418 0.897  0.44
O 0.750 0.114 0.522  0.00
O 0.750 0.708 0.650  -0.01
O 0.750 0.022 0.282  -0.01
O 0.750 0.919 0.929  0.00
O 0.750 0.522 0.218  -0.01
Na 0.250 0.242 0.655  0.00
Ti 0.250 0.063 0.889  0.44
O 0.250 0.386 0.022  0.00
O 0.250 0.478 0.782  -0.01
Ti 0.750 0.937 0.111  0.44
Ti 0.250 0.082 0.397  0.44
O 0.750 0.614 0.978  0.00
O 0.250 0.792 0.150  -0.01
O 0.250 0.886 0.478  0.00
O 0.250 0.081 0.071  0.00
Ti 0.250 0.563 0.611  0.44
Ti 0.750 0.437 0.389  0.44
Ti 0.750 0.918 0.603  0.44
O 0.250 0.581 0.429  0.00
Na 0.750 0.258 0.155  0.00
O 0.750 0.419 0.571  0.00
O 0.750 0.208 0.850  -0.01
Na 0.750 0.758 0.345  0.00
Na 0.250 0.742 0.845  0.00
O 0.250 0.292 0.350  -0.01
O 0.250 0.978 0.718  -0.01
Ti 0.250 0.582 0.103  0.44

(6)
The following is a DFT calculation (GGA-PBEsol) of Na2Ti7O15 after structural relaxation.

Properties
The calculation puts the uncorrected formation energy at -2915 meV/atom. As for the crystal system: triclinic. Its space-group type is P-1 (2). The calculation puts the size of the total moment at 0.0 μB per formula unit. For the density of states at the Fermi level, the calculation gives 0.0 states/eV/cell.

abc: 7.468 7.791 21.216
angles: 96.37 90.01 103.82
Fractional positions:
Ti 0.903 0.610 0.957
O 0.326 0.304 0.335
O 0.852 0.409 0.470
Ti 0.050 0.200 0.756
O 0.078 0.361 0.250
O 0.436 0.751 0.450
O 0.839 0.356 0.901
O 0.078 0.309 0.679
Na 0.735 0.935 0.391
Ti 0.122 0.489 0.187
O 0.623 0.492 0.391
O 0.637 0.547 0.961
Ti 0.622 0.488 0.187
Na 0.234 0.936 0.408
O 0.922 0.691 0.321
O 0.377 0.508 0.609
O 0.341 0.363 0.902
O 0.398 0.644 0.751
Ti 0.084 0.335 0.473
Ti 0.416 0.665 0.527
O 0.050 0.195 0.980
Na 0.748 0.992 0.989
Ti 0.950 0.800 0.244
Na 0.220 0.878 0.817
O 0.578 0.311 0.679
Ti 0.062 0.247 0.327
Ti 0.938 0.753 0.673
O 0.536 0.149 0.412
Ti 0.584 0.335 0.473
O 0.011 0.977 0.714
O 0.490 0.894 0.159
O 0.940 0.698 0.882
O 0.602 0.356 0.249
Ti 0.378 0.512 0.813
O 0.060 0.302 0.118
Ti 0.073 0.284 0.900
O 0.478 0.978 0.714
Ti 0.889 0.556 0.384
O 0.648 0.592 0.530
Ti 0.551 0.199 0.756
Ti 0.097 0.390 0.043
O 0.510 0.106 0.841
Ti 0.389 0.555 0.384
O 0.186 0.744 0.233
O 0.864 0.457 0.036
O 0.136 0.543 0.964
O 0.590 0.298 0.118
O 0.957 0.898 0.159
O 0.040 0.149 0.411
O 0.123 0.491 0.391
O 0.814 0.256 0.767
Na 0.780 0.122 0.183
O 0.148 0.591 0.530
O 0.683 0.734 0.235
O 0.388 0.552 0.177
Ti 0.111 0.444 0.616
Ti 0.562 0.247 0.327
Na 0.252 0.008 0.011
O 0.960 0.851 0.589
O 0.939 0.752 0.450
Ti 0.878 0.511 0.813
O 0.352 0.408 0.470
O 0.922 0.639 0.750
O 0.674 0.696 0.665
O 0.612 0.448 0.823
O 0.317 0.266 0.765
O 0.890 0.559 0.177
O 0.174 0.696 0.661
Ti 0.599 0.390 0.044
Ti 0.449 0.801 0.244
O 0.363 0.453 0.039
O 0.950 0.805 0.020
O 0.877 0.509 0.609
Ti 0.429 0.713 0.100
O 0.161 0.644 0.099
O 0.826 0.304 0.339
O 0.464 0.851 0.588
O 0.110 0.441 0.823
O 0.061 0.248 0.550
O 0.989 0.023 0.286
Na 0.766 0.064 0.592
O 0.452 0.805 0.020
O 0.659 0.637 0.098
Ti 0.401 0.610 0.956
O 0.422 0.689 0.321
O 0.564 0.249 0.550
O 0.548 0.195 0.980
O 0.410 0.702 0.882
O 0.043 0.102 0.841
Ti 0.916 0.665 0.527
Ti 0.927 0.716 0.100
O 0.522 0.022 0.286
Ti 0.571 0.287 0.900
Na 0.265 0.065 0.609
Ti 0.611 0.445 0.616
Ti 0.438 0.753 0.673

(7)
The following is a DFT calculation (GGA-PBEsol) of Na2Ti3O7 after structural relaxation.

Properties
The calculation puts the uncorrected formation energy at -2777 meV/atom. As for the crystal system: monoclinic. Its space-group type is P2_1/m (11). The calculation puts the size of the total moment at 0.0 μB per formula unit. For the density of states at the Fermi level, the calculation gives 0.0 states/eV/cell.

abc: 3.789 8.561 9.110
angles: 101.80 90.00 90.00
Fractional positions:
O 0.750 0.915 0.043
O 0.750 0.148 0.464
O 0.750 0.325 0.909
Ti 0.250 0.854 0.015
O 0.250 0.085 0.957
O 0.250 0.985 0.246
O 0.250 0.782 0.811
O 0.250 0.556 0.347
Ti 0.250 0.970 0.720
O 0.750 0.444 0.653
O 0.250 0.675 0.091
Ti 0.750 0.249 0.678
Na 0.250 0.503 0.840
Ti 0.250 0.751 0.322
O 0.750 0.803 0.316
O 0.250 0.852 0.536
O 0.750 0.218 0.189
O 0.250 0.197 0.684
Na 0.750 0.682 0.585
Ti 0.750 0.146 0.985
Na 0.750 0.497 0.160
Ti 0.750 0.030 0.280
O 0.750 0.015 0.754
Na 0.250 0.318 0.415

(8)
The following is a DFT calculation (GGA-PBEsol) of NaTi5O10 after structural relaxation.

Properties
The calculation puts the uncorrected formation energy at -2956 meV/atom. As for the crystal system: triclinic. Its space-group type is P-1 (2). The calculation puts the size of the total moment at 0.0 μB per formula unit. For the density of states at the Fermi level, the calculation gives 25.9 states/eV/cell.

abc: 8.372 9.409 10.027
angles: 81.59 67.37 84.44
Fractional positions:
O 0.209 0.676 0.336
O 0.083 0.815 0.819
O 0.917 0.185 0.181
O 0.791 0.324 0.664
O 0.991 0.522 0.866
O 0.707 0.979 0.976
O 0.040 0.922 0.285
Na 0.399 0.400 0.401
O 0.409 0.878 0.536
O 0.833 0.717 0.080
O 0.610 0.080 0.734
Ti 0.133 0.539 0.245
O 0.167 0.283 0.920
O 0.894 0.158 0.461
O 0.507 0.244 0.937
Ti 0.763 0.556 0.258
O 0.564 0.679 0.319
O 0.095 0.359 0.660
O 0.591 0.122 0.464
Ti 0.265 0.863 0.153
O 0.319 0.581 0.576
Na 0.801 0.800 0.801
O 0.764 0.879 0.517
Na 0.601 0.600 0.599
O 0.106 0.842 0.539
O 0.436 0.321 0.681
Ti 0.034 0.242 0.541
Ti 0.638 0.843 0.141
Ti 0.437 0.643 0.942
Ti 0.162 0.959 0.663
Ti 0.464 0.061 0.356
O 0.009 0.478 0.134
Ti 0.867 0.461 0.755
O 0.905 0.641 0.340
Ti 0.362 0.157 0.859
O 0.882 0.620 0.624
Ti 0.237 0.444 0.742
O 0.362 0.478 0.118
Ti 0.334 0.740 0.445
O 0.118 0.380 0.376
O 0.390 0.920 0.266
O 0.692 0.958 0.262
O 0.191 0.721 0.066
O 0.480 0.219 0.224
Ti 0.563 0.357 0.058
Ti 0.838 0.041 0.337
O 0.520 0.781 0.776
O 0.960 0.078 0.715
Ti 0.536 0.939 0.644
O 0.809 0.279 0.934
Ti 0.666 0.260 0.555
Ti 0.065 0.664 0.955
Ti 0.935 0.336 0.045
O 0.681 0.419 0.424
O 0.493 0.756 0.063
O 0.638 0.522 0.882
Ti 0.966 0.758 0.459
O 0.308 0.042 0.738
O 0.704 0.439 0.141
O 0.236 0.121 0.483
O 0.293 0.021 0.024
Ti 0.735 0.137 0.847
Na 0.199 0.200 0.199
O 0.296 0.561 0.859

(9)
The following is a DFT calculation (GGA-PBEsol) of Na4Ti5O12 after structural relaxation.

Properties
The calculation puts the uncorrected formation energy at -2742 meV/atom. The value obtained for the energy above the most stable polymorph in this dataset is 0.0000 eV/atom. As for the crystal system: trigonal. Its space-group type is P-3 (147). The calculation puts the size of the total moment at 0.0 μB per formula unit. For the density of states at the Fermi level, the calculation gives 0.0 states/eV/cell.

abc: 5.318 5.318 9.538
angles: 90.00 90.00 120.00
Fractional positions:
O 0.567 0.584 0.623
O 0.332 0.099 0.121
O 0.901 0.232 0.121
O 0.768 0.668 0.121
O 0.584 0.016 0.377
Ti 0.333 0.667 0.473
Ti 0.667 0.333 0.527
O 0.016 0.433 0.623
Na 0.000 0.000 0.312
O 0.984 0.567 0.377
O 0.433 0.416 0.377
O 0.416 0.984 0.623
Na 0.333 0.667 0.103
Ti 0.667 0.333 0.218
Ti 0.333 0.667 0.782
O 0.232 0.332 0.879
Na 0.667 0.333 0.897
O 0.668 0.901 0.879
Na 0.000 0.000 0.688
Ti 0.000 0.000 0.000
O 0.099 0.768 0.879

Question: Among the records above, which one has the highest size of the total moment?
Answer: Na5Ti12O24

Question: Which of these has the highest size of the total moment?
Answer: Na5Ti12O24

Question: The highest size of the total moment belongs to which entry?
Answer: Na5Ti12O24

What did the third record say?
The following is a DFT calculation (GGA-PBEsol) of Na4Ti7O16 after structural relaxation.

Properties
The calculation puts the uncorrected formation energy at -2725 meV/atom. The value obtained for the energy above the most stable polymorph in this dataset is 0.0262 eV/atom. As for the crystal system: monoclinic. Its space-group type is Pm (6). The calculation puts the size of the total moment at 0.0 μB per formula unit. For the density of states at the Fermi level, the calculation gives 0.0 states/eV/cell.

abc: 5.476 5.965 9.361
angles: 90.00 90.59 90.00
Fractional positions:
O 0.101 0.500 0.768
Na 0.463 0.500 0.652
Na 0.954 0.743 0.549
Ti 0.943 0.252 0.864
O 0.696 0.000 0.459
O 0.858 0.754 0.235
O 0.333 0.500 0.265
Ti 0.528 0.751 0.358
O 0.692 0.500 0.442
O 0.357 0.000 0.257
Na 0.434 0.500 0.949
O 0.676 0.219 0.742
Na 0.954 0.257 0.549
Ti 0.452 0.000 0.648
O 0.334 0.225 0.519
Ti 0.943 0.748 0.864
Ti 0.055 0.000 0.138
O 0.676 0.781 0.742
Ti 0.018 0.500 0.160
O 0.175 0.746 0.036
O 0.175 0.254 0.036
O 0.813 0.500 0.978
O 0.334 0.775 0.519
O 0.858 0.246 0.235
O 0.154 0.000 0.761
O 0.825 0.000 0.976
Ti 0.528 0.249 0.358